Compound: TmIr2Pt
Source: Alexandria via LeMat-Bulk
Functional: PBE-GGA
Structure: optimized geometry

Unit cell a=4.0442 b=4.0442 c=4.0472 alpha=90.00 beta=90.00 gamma=90.00
Closest atoms and distances in Å follow each position.
Space group P4/mmm (No. 123)
Unique sites:
Tm (0.0000, 0.0000, 0.0000) x1  4 Pt 2.86, 8 Ir 2.86
Ir (0.0000, 0.5000, 0.5000) x2  4 Ir 2.86, 4 Tm 2.86, 4 Pt 2.86
Pt (0.5000, 0.5000, 0.0000) x1  4 Tm 2.86, 8 Ir 2.86

Properties
- Energy: -7.721 eV per atom
- Magnetization: 0.00 μB per formula unit
- Formation enthalpy at 0 K: -255 kJ/mol of formula units



Compound: PmSm4Te7
Source: Alexandria via LeMat-Bulk
Functional: PBE-GGA
Structure: optimized geometry

Unit cell a=14.5979 b=4.3214 c=13.4050 alpha=90.00 beta=104.25 gamma=90.00
Closest atoms and distances in Å follow each position.
Space group Cm (No. 8)
Unique sites:
Pm (0.0000, 0.0000, 0.0000) x2  6 Te 3.08-3.25
Sm (0.1157, 0.0000, 0.4237) x2  6 Te 3.08-3.14
Sm (0.2308, 0.0000, 0.8467) x2  6 Te 3.06-3.24
Sm (0.3165, 0.5000, 0.2363) x2  7 Te 3.16-3.35
Sm (0.4149, 0.0000, 0.6112) x2  7 Te 3.16-3.35
Te (0.0772, 0.0000, 0.6400) x2  4 Sm 3.09-3.16
Te (0.1154, 0.5000, 0.9223) x2  2 Sm 3.06, 2 Pm 3.08
Te (0.1541, 0.0000, 0.2075) x2  3 Sm 3.08-3.16, 1 Pm 3.12
Te (0.2767, 0.5000, 0.4717) x2  5 Sm 3.14-3.35
Te (0.3574, 0.5000, 0.7720) x2  4 Sm 3.16-3.30, 1 Pm 3.25
Te (0.3720, 0.0000, 0.0744) x2  2 Pm 3.17, 3 Sm 3.24-3.30
Te (0.4547, 0.0000, 0.3756) x2  5 Sm 3.14-3.35

Properties
- Energy: -5.219 eV per atom
- Magnetization: 0.00 μB per formula unit
- ΔE_f (raw): -1418 meV/atom



Compound: LiHfMo2
Source: Alexandria via LeMat-Bulk
Functional: PBE-GGA
Structure: optimized geometry

Unit cell a=6.4160 b=6.4160 c=6.4160 alpha=90.00 beta=90.00 gamma=90.00
Closest atoms and distances in Å follow each position.
Space group Fm-3m (No. 225)
Unique sites:
Li (0.0000, 0.0000, 0.0000) x4  8 Mo 2.78
Hf (0.0000, 0.0000, 0.5000) x4  8 Mo 2.78
Mo (0.2500, 0.2500, 0.2500) x8  4 Hf 2.78, 4 Li 2.78

Properties
- Polymorph energy (0 for the lowest one): 0 meV per atom
- Energy: -7.831 eV per atom
- Magnetization: 0.00 μB per formula unit
- Formation enthalpy at 0 K: 213 kJ/mol of formula units



Look up the magnetization of the second one. 0.00 μB per formula unit



Please write out number 1 again, unchanged.
Compound: TmIr2Pt
Source: Alexandria via LeMat-Bulk
Functional: PBE-GGA
Structure: optimized geometry

Unit cell a=4.0442 b=4.0442 c=4.0472 alpha=90.00 beta=90.00 gamma=90.00
Closest atoms and distances in Å follow each position.
Space group P4/mmm (No. 123)
Unique sites:
Tm (0.0000, 0.0000, 0.0000) x1  4 Pt 2.86, 8 Ir 2.86
Ir (0.0000, 0.5000, 0.5000) x2  4 Ir 2.86, 4 Tm 2.86, 4 Pt 2.86
Pt (0.5000, 0.5000, 0.0000) x1  4 Tm 2.86, 8 Ir 2.86

Properties
- Energy: -7.721 eV per atom
- Magnetization: 0.00 μB per formula unit
- Formation enthalpy at 0 K: -255 kJ/mol of formula units